Entry 1:
DFT (meta-GGA SCAN) results for a PBEsol-optimized structure of Li2Mn3CuO8.

Properties
Formation energy without anion corrections in eV/atom: -2.022
Energy above the most stable polymorph in this dataset in kJ/mol of formula units: 24.6
Space-group type: R-3m (166)

abc: 5.833 5.833 5.833
angles: 58.38 58.38 58.38
Fractional positions:
Li 0.122 0.122 0.122
Li 0.878 0.878 0.878
Mn 0.000 0.500 0.500
Mn 0.500 0.000 0.500
Mn 0.500 0.500 0.000
Cu 0.500 0.500 0.500
O 0.252 0.252 0.710
O 0.252 0.710 0.252
O 0.263 0.263 0.263
O 0.290 0.748 0.748
O 0.710 0.252 0.252
O 0.737 0.737 0.737
O 0.748 0.290 0.748
O 0.748 0.748 0.290

***

Entry 2:
DFT (meta-GGA SCAN) results for a PBEsol-optimized structure of SrScBe2Co.

Properties
Space-group type: P4/mmm (123)
Energy of formation from the pure elements in meV/atom: 1833.6

abc: 4.778 4.778 4.436
angles: 90.00 90.00 90.00
Fractional positions:
Sr 0.000 0.000 0.000
Sc 0.500 0.500 0.500
Be 0.000 0.500 0.000
Be 0.500 0.000 0.000
Co 0.000 0.000 0.500

***

Entry 3:
DFT (meta-GGA SCAN) results for a PBEsol-optimized structure of Li2TiCr3O8.

Properties
Formation energy without anion corrections in eV/atom: -2.646
Energy above the most stable polymorph in this dataset in kJ/mol of formula units: 1.1
Space-group type: R-3m (166)

abc: 5.791 5.791 5.791
angles: 60.43 60.43 60.43
Fractional positions:
Li 0.124 0.124 0.124
Li 0.876 0.876 0.876
Ti 0.500 0.500 0.500
Cr 0.000 0.500 0.500
Cr 0.500 0.000 0.500
Cr 0.500 0.500 0.000
O 0.261 0.261 0.714
O 0.261 0.714 0.261
O 0.263 0.263 0.263
O 0.286 0.739 0.739
O 0.714 0.261 0.261
O 0.737 0.737 0.737
O 0.739 0.286 0.739
O 0.739 0.739 0.286

***

Entry 4:
DFT (meta-GGA SCAN) results for a PBEsol-optimized structure of Cr3C4.

Properties
Space-group type: Pm-3m (221)
Energy of formation from the pure elements in meV/atom: 626.7

abc: 3.948 3.948 3.948
angles: 90.00 90.00 90.00
Fractional positions:
Cr 0.000 0.000 0.500
Cr 0.000 0.500 0.000
Cr 0.500 0.000 0.000
C 0.000 0.000 0.000
C 0.000 0.500 0.500
C 0.500 0.000 0.500
C 0.500 0.500 0.000

***

What did the second record say?
DFT (meta-GGA SCAN) results for a PBEsol-optimized structure of SrScBe2Co.

Properties
Space-group type: P4/mmm (123)
Energy of formation from the pure elements in meV/atom: 1833.6

abc: 4.778 4.778 4.436
angles: 90.00 90.00 90.00
Fractional positions:
Sr 0.000 0.000 0.000
Sc 0.500 0.500 0.500
Be 0.000 0.500 0.000
Be 0.500 0.000 0.000
Co 0.000 0.000 0.500

***

Q: Number 2 is which compound?
A: SrScBe2Co